# 1
The following is a PBE calculation of crystalline Ce7PuAl3 at its relaxed geometry, from Alexandria.

Values from the calculation:
ΔE_f   -0.0303 eV/atom
Total energy   -6.130 eV/atom
DOS(E_F)   2.37 states/eV/atom
Crystal system   monoclinic

Cell and atoms, written as CIF:
```
data_Ce7PuAl3
_cell_length_a 11.105
_cell_length_b 10.629
_cell_length_c 5.332
_cell_angle_alpha 90.00
_cell_angle_beta 118.57
_cell_angle_gamma 90.00
_symmetry_space_group_name_H-M 'C 1 2/m 1'
_symmetry_Int_Tables_number 12
_symmetry_space_group_name_Hall '-C 2y'
loop_
_atom_site_label
_atom_site_type_symbol
_atom_site_fract_x
_atom_site_fract_y
_atom_site_fract_z
Ce1 Ce 0.000 0.000 0.000
Ce2 Ce 0.166 0.243 0.665
Ce3 Ce 0.203 0.500 0.202
Pu1 Pu 0.000 0.000 0.500
Al1 Al 0.000 0.283 0.000
Al2 Al 0.000 0.500 0.500
```

---

# 2
The following is a PBE calculation of crystalline Zr2CdCl at its relaxed geometry, from Alexandria.

Values from the calculation:
Formation energy (no corrections)   -0.470 eV/atom
Total energy   -5.434 eV/atom
DOS(E_F)   0.52 states/eV/atom
Crystal system   tetragonal

Cell and atoms, written as CIF:
```
data_Zr2CdCl
_cell_length_a 3.167
_cell_length_b 3.167
_cell_length_c 9.677
_cell_angle_alpha 90.00
_cell_angle_beta 90.00
_cell_angle_gamma 90.00
_symmetry_space_group_name_H-M 'P 4 m m'
_symmetry_Int_Tables_number 99
_symmetry_space_group_name_Hall 'P 4 -2'
loop_
_atom_site_label
_atom_site_type_symbol
_atom_site_fract_x
_atom_site_fract_y
_atom_site_fract_z
Zr1 Zr 0.000 0.000 0.000
Zr2 Zr 0.500 0.500 0.241
Cd1 Cd 0.000 0.000 0.466
Cl1 Cl 0.500 0.500 0.829
```

---

# 3
The following is a PBE calculation of crystalline GdMgSi2 at its relaxed geometry, from Alexandria.

Values from the calculation:
Formation energy (no corrections)   -0.334 eV/atom
Total energy   -6.964 eV/atom
DOS(E_F)   0.60 states/eV/atom
Crystal system   tetragonal

Cell and atoms, written as CIF:
```
data_GdMgSi2
_cell_length_a 4.369
_cell_length_b 4.369
_cell_length_c 4.059
_cell_angle_alpha 90.00
_cell_angle_beta 90.00
_cell_angle_gamma 90.00
_symmetry_space_group_name_H-M 'P 4/m m m'
_symmetry_Int_Tables_number 123
_symmetry_space_group_name_Hall '-P 4 2'
loop_
_atom_site_label
_atom_site_type_symbol
_atom_site_fract_x
_atom_site_fract_y
_atom_site_fract_z
Gd1 Gd 0.000 0.000 0.000
Mg1 Mg 0.500 0.500 0.000
Si1 Si 0.000 0.500 0.500
```